[1]
! LiSi2Rh | the Alexandria database | PBEsol | optimized geometry; values from VASP
! total magnetization: 0.0 Bohr magnetons per cell
! total DFT energy (no corrections): -5.826 eV/atom
! SG: Pmm2
&SYSTEM
  ibrav = 0, nat = 4, ntyp = 3
/
ATOMIC_SPECIES
Li 6.94 Li.upf
Rh 102.91 Rh.upf
Si 28.09 Si.upf
CELL_PARAMETERS angstrom
-1.468 -0.040 -2.554
2.814 -1.024 -1.601
-1.283 -4.797 0.813
ATOMIC_POSITIONS crystal
Li 0.000 0.000 0.490
Rh 0.500 0.500 0.765
Si 0.000 0.000 0.986
Si 0.500 0.500 0.259

***

[2]
! NbFeSbTe2 | the Alexandria database | PBEsol | optimized geometry; values from VASP
! total magnetization: 1.5 Bohr magnetons per cell
! total DFT energy (no corrections): -5.509 eV/atom
! SG: P4/mmm
&SYSTEM
  ibrav = 0, nat = 5, ntyp = 4
/
ATOMIC_SPECIES
Sb 121.76 Sb.upf
Nb 92.91 Nb.upf
Te 127.60 Te.upf
Fe 55.84 Fe.upf
CELL_PARAMETERS angstrom
-1.710 2.473 3.581
-0.313 -4.173 2.732
4.641 0.759 1.691
ATOMIC_POSITIONS crystal
Sb 0.500 0.000 0.000
Nb 0.500 0.500 0.500
Te 0.000 0.000 0.500
Te 0.000 0.500 0.000
Fe 0.000 0.000 0.000

***

[3]
! Tl2PtW | the Alexandria database | PBEsol | optimized geometry; values from VASP
! total magnetization: 0.0 Bohr magnetons per cell
! total DFT energy (no corrections): -5.786 eV/atom
! formation energy from the elements: 0.722 eV per atom
! SG: P2/m
&SYSTEM
  ibrav = 0, nat = 4, ntyp = 3
/
ATOMIC_SPECIES
Pt 195.08 Pt.upf
Tl 204.38 Tl.upf
W 183.84 W.upf
CELL_PARAMETERS angstrom
-0.145 1.880 -2.263
-4.282 -1.500 -0.972
-2.101 3.764 3.446
ATOMIC_POSITIONS crystal
Pt 0.000 0.500 0.500
Tl 0.797 0.000 0.751
Tl 0.203 0.000 0.249
W 0.500 0.500 0.000